A plane-wave DFT calculation with PBE+U was carried out for a relaxed CdFePO2 crystal.

V	74	Å³ per cell
crystal system	tetragonal
magnetization	0.7915	μB/atom
ΔE to the lowest computed polymorph	0	meV/atom

The structure in CIF format:
```
data_CdFePO2
_symmetry_space_group_name_H-M 'P 1'
_symmetry_Int_Tables_number 1
_cell_length_a 3.7824
_cell_length_b 3.7824
_cell_length_c 5.1462
_cell_angle_alpha 90.00
_cell_angle_beta 90.00
_cell_angle_gamma 90.00
loop_
_symmetry_equiv_pos_as_xyz
'x,y,z'
loop_
_atom_site_label
_atom_site_type_symbol
_atom_site_fract_x
_atom_site_fract_y
_atom_site_fract_z
_atom_site_occupancy
Cd1 Cd 0.0000 0.0000 0.0000 1
Fe1 Fe 0.5000 0.5000 0.5000 1
P1 P 0.5000 0.5000 0.0000 1
O1 O 0.0000 0.5000 0.5000 1
O2 O 0.5000 0.0000 0.5000 1
```


A plane-wave DFT calculation with PBE+U was carried out for a relaxed CdFeP2O8 crystal.

V	137	Å³ per cell
crystal system	tetragonal
electronic total energy	-6.399	eV/atom
magnetization	0.4980	μB/atom

The structure in CIF format:
```
data_CdFeP2O8
_symmetry_space_group_name_H-M 'P 1'
_symmetry_Int_Tables_number 1
_cell_length_a 5.6604
_cell_length_b 5.6604
_cell_length_c 5.6604
_cell_angle_alpha 105.58
_cell_angle_beta 105.58
_cell_angle_gamma 117.56
loop_
_symmetry_equiv_pos_as_xyz
'x,y,z'
loop_
_atom_site_label
_atom_site_type_symbol
_atom_site_fract_x
_atom_site_fract_y
_atom_site_fract_z
_atom_site_occupancy
Cd1 Cd 0.0000 0.0000 0.0000 1
Fe1 Fe 0.7500 0.2500 0.5000 1
P1 P 0.2500 0.7500 0.5000 1
P2 P 0.5000 0.5000 0.0000 1
O1 O 0.0759 0.4052 0.3293 1
O2 O 0.0759 0.7466 0.6707 1
O3 O 0.1605 0.3448 0.8157 1
O4 O 0.2534 0.9241 0.3293 1
O5 O 0.5292 0.3448 0.1843 1
O6 O 0.5948 0.9241 0.6707 1
O7 O 0.6552 0.4708 0.8157 1
O8 O 0.6552 0.8395 0.1843 1
```